The following is a GGA-PBE calculation of a relaxed structure of TcOsPt, from Alexandria via LeMat-Bulk.

Cell and atoms, written as CIF:
```
data_TcOsPt
_symmetry_space_group_name_H-M 'P 1'
_symmetry_Int_Tables_number 1
_cell_length_a 4.419
_cell_length_b 8.320
_cell_length_c 4.792
_cell_angle_alpha 90.00
_cell_angle_beta 90.00
_cell_angle_gamma 90.00
loop_
_symmetry_equiv_pos_as_xyz
'x,y,z'
loop_
_atom_site_label
_atom_site_fract_x
_atom_site_fract_y
_atom_site_fract_z
_atom_site_occupancy
Pt1 0.500 0.000 0.012 1
Pt2 0.000 0.000 0.671 1
Pt3 0.500 0.500 0.512 1
Pt4 0.000 0.500 0.171 1
Tc1 0.000 0.169 0.178 1
Tc2 0.000 0.669 0.678 1
Tc3 0.000 0.831 0.178 1
Tc4 0.000 0.331 0.678 1
Os1 0.500 0.331 0.006 1
Os2 0.500 0.831 0.506 1
Os3 0.500 0.669 0.006 1
Os4 0.500 0.169 0.506 1
```

Properties
Energy: -9.294 eV per atom
Excess energy over the best structure of this formula in the dataset: 0.000 eV/atom
Formation energy from the elements: -82 meV/atom
Space group: Amm2, No. 38

---

The following is a GGA-PBE calculation of a relaxed structure of Tc2OsPt, from Alexandria via LeMat-Bulk.

Cell and atoms, written as CIF:
```
data_Tc2OsPt
_symmetry_space_group_name_H-M 'P 1'
_symmetry_Int_Tables_number 1
_cell_length_a 9.132
_cell_length_b 9.132
_cell_length_c 9.132
_cell_angle_alpha 17.32
_cell_angle_beta 17.32
_cell_angle_gamma 17.32
loop_
_symmetry_equiv_pos_as_xyz
'x,y,z'
loop_
_atom_site_label
_atom_site_fract_x
_atom_site_fract_y
_atom_site_fract_z
_atom_site_occupancy
Tc1 0.502 0.502 0.502 1
Tc2 0.998 0.998 0.998 1
Pt1 0.750 0.750 0.750 1
Os1 0.250 0.250 0.250 1
```

Properties
Energy: -9.509 eV per atom
Excess energy over the best structure of this formula in the dataset: 0.128 eV/atom
Formation energy from the elements: -8 meV/atom
Space group: R-3m, No. 166

---

The following is a GGA-PBE calculation of a relaxed structure of TcOsPt, from Alexandria via LeMat-Bulk.

Cell and atoms, written as CIF:
```
data_TcOsPt
_symmetry_space_group_name_H-M 'P 1'
_symmetry_Int_Tables_number 1
_cell_length_a 5.251
_cell_length_b 4.804
_cell_length_c 8.310
_cell_angle_alpha 90.00
_cell_angle_beta 122.77
_cell_angle_gamma 90.00
loop_
_symmetry_equiv_pos_as_xyz
'x,y,z'
loop_
_atom_site_label
_atom_site_fract_x
_atom_site_fract_y
_atom_site_fract_z
_atom_site_occupancy
Pt1 0.500 0.910 0.000 1
Pt2 0.000 0.233 0.500 1
Pt3 0.500 0.410 0.500 1
Pt4 0.000 0.733 0.000 1
Os1 0.499 0.403 0.834 1
Os2 0.501 0.903 0.666 1
Os3 0.499 0.903 0.334 1
Os4 0.501 0.403 0.166 1
Tc1 0.000 0.239 0.166 1
Tc2 0.000 0.239 0.834 1
Tc3 0.000 0.739 0.334 1
Tc4 0.000 0.739 0.666 1
```

Properties
Energy: -9.248 eV per atom
Excess energy over the best structure of this formula in the dataset: 0.046 eV/atom
Formation energy from the elements: -36 meV/atom
Space group: C2, No. 5

---

The following is a GGA-PBE calculation of a relaxed structure of TcOsPt, from Alexandria via LeMat-Bulk.

Cell and atoms, written as CIF:
```
data_TcOsPt
_symmetry_space_group_name_H-M 'P 1'
_symmetry_Int_Tables_number 1
_cell_length_a 2.771
_cell_length_b 4.323
_cell_length_c 7.524
_cell_angle_alpha 90.01
_cell_angle_beta 90.00
_cell_angle_gamma 90.00
loop_
_symmetry_equiv_pos_as_xyz
'x,y,z'
loop_
_atom_site_label
_atom_site_fract_x
_atom_site_fract_y
_atom_site_fract_z
_atom_site_occupancy
Os1 0.657 0.485 0.900 1
Os2 0.157 0.984 0.356 1
Pt1 0.657 0.984 0.689 1
Pt2 0.157 0.484 0.567 1
Tc1 0.657 0.484 0.233 1
Tc2 0.157 0.985 0.023 1
```

Properties
Energy: -9.116 eV per atom
Excess energy over the best structure of this formula in the dataset: 0.178 eV/atom
Formation energy from the elements: 96 meV/atom
Space group: Pmmn, No. 59

---

The following is a GGA-PBE calculation of a relaxed structure of Tc2OsPt, from Alexandria via LeMat-Bulk.

Cell and atoms, written as CIF:
```
data_Tc2OsPt
_symmetry_space_group_name_H-M 'P 1'
_symmetry_Int_Tables_number 1
_cell_length_a 4.753
_cell_length_b 4.753
_cell_length_c 4.753
_cell_angle_alpha 131.74
_cell_angle_beta 131.74
_cell_angle_gamma 70.64
loop_
_symmetry_equiv_pos_as_xyz
'x,y,z'
loop_
_atom_site_label
_atom_site_fract_x
_atom_site_fract_y
_atom_site_fract_z
_atom_site_occupancy
Os1 0.250 0.750 0.500 1
Tc1 0.500 0.500 0.000 1
Tc2 0.000 0.000 0.000 1
Pt1 0.750 0.250 0.500 1
```

Properties
Energy: -9.540 eV per atom
Excess energy over the best structure of this formula in the dataset: 0.097 eV/atom
Formation energy from the elements: -40 meV/atom
Space group: I4/mmm, No. 139

---

The following is a GGA-PBE calculation of a relaxed structure of TcOsPt2, from Alexandria via LeMat-Bulk.

Cell and atoms, written as CIF:
```
data_TcOsPt2
_symmetry_space_group_name_H-M 'P 1'
_symmetry_Int_Tables_number 1
_cell_length_a 4.428
_cell_length_b 4.428
_cell_length_c 4.428
_cell_angle_alpha 60.00
_cell_angle_beta 60.00
_cell_angle_gamma 60.00
loop_
_symmetry_equiv_pos_as_xyz
'x,y,z'
loop_
_atom_site_label
_atom_site_fract_x
_atom_site_fract_y
_atom_site_fract_z
_atom_site_occupancy
Pt1 0.750 0.750 0.750 1
Pt2 0.250 0.250 0.250 1
Os1 0.500 0.500 0.500 1
Tc1 0.000 0.000 0.000 1
```

Properties
Energy: -7.956 eV per atom
Excess energy over the best structure of this formula in the dataset: 0.555 eV/atom
Formation energy from the elements: 464 meV/atom
Space group: Fm-3m, No. 225

---

Repeat the first record exactly.
The following is a GGA-PBE calculation of a relaxed structure of TcOsPt, from Alexandria via LeMat-Bulk.

Cell and atoms, written as CIF:
```
data_TcOsPt
_symmetry_space_group_name_H-M 'P 1'
_symmetry_Int_Tables_number 1
_cell_length_a 4.419
_cell_length_b 8.320
_cell_length_c 4.792
_cell_angle_alpha 90.00
_cell_angle_beta 90.00
_cell_angle_gamma 90.00
loop_
_symmetry_equiv_pos_as_xyz
'x,y,z'
loop_
_atom_site_label
_atom_site_fract_x
_atom_site_fract_y
_atom_site_fract_z
_atom_site_occupancy
Pt1 0.500 0.000 0.012 1
Pt2 0.000 0.000 0.671 1
Pt3 0.500 0.500 0.512 1
Pt4 0.000 0.500 0.171 1
Tc1 0.000 0.169 0.178 1
Tc2 0.000 0.669 0.678 1
Tc3 0.000 0.831 0.178 1
Tc4 0.000 0.331 0.678 1
Os1 0.500 0.331 0.006 1
Os2 0.500 0.831 0.506 1
Os3 0.500 0.669 0.006 1
Os4 0.500 0.169 0.506 1
```

Properties
Energy: -9.294 eV per atom
Excess energy over the best structure of this formula in the dataset: 0.000 eV/atom
Formation energy from the elements: -82 meV/atom
Space group: Amm2, No. 38

---

Q: Look up the formation energy from the elements of the fifth one.
A: -40 meV/atom

---

Q: Among the records above, which one has the lowest formation energy from the elements?
A: number 1